(a)
Material: Rh2AuI2
Method: DFT, PBE
State: optimized geometry

## Properties
As for the space group: P4/mbm. For the mass density, the calculation gives 10.259 g cm⁻³.

abc: 7.891 7.891 3.414
angles: 90.00 90.00 90.00
Element x y z (fractional)
I  0.350  0.850  0.000
I  0.850  0.650  0.000
I  0.650  0.150  0.000
I  0.150  0.350  0.000
Rh  0.168  0.668  0.500
Rh  0.668  0.832  0.500
Rh  0.832  0.332  0.500
Rh  0.332  0.168  0.500
Au  0.000  0.000  0.000
Au  0.500  0.500  0.000

***

(b)
Material: Rh2AuI2
Method: DFT, PBE
State: optimized geometry

## Properties
As for the space group: P4/mbm. For the mass density, the calculation gives 10.454 g cm⁻³.

abc: 7.339 7.339 3.873
angles: 90.00 90.00 90.00
Element x y z (fractional)
I  0.166  0.666  0.500
I  0.666  0.834  0.500
I  0.834  0.334  0.500
I  0.334  0.166  0.500
Rh  0.350  0.850  0.000
Rh  0.850  0.650  0.000
Rh  0.650  0.150  0.000
Rh  0.150  0.350  0.000
Au  0.000  0.000  0.000
Au  0.500  0.500  0.000

***

Stability, highest: (b)

***

(a)
Material: RhAuI2
Method: DFT, PBE
State: optimized geometry

## Properties
As for the space group: I-42d. For the mass density, the calculation gives 7.444 g cm⁻³.

abc: 6.368 6.368 7.576
angles: 65.15 65.15 90.00
Element x y z (fractional)
I  0.594  0.125  0.250
I  0.156  0.625  0.250
I  0.375  0.406  0.750
I  0.875  0.844  0.750
Rh  0.500  0.500  0.000
Rh  0.250  0.750  0.500
Au  0.000  0.000  0.000
Au  0.750  0.250  0.500

***

(b)
Material: RhAuI2
Method: DFT, PBE
State: optimized geometry

## Properties
As for the space group: Fm-3m. For the mass density, the calculation gives 9.653 g cm⁻³.

abc: 5.126 5.126 5.126
angles: 60.00 60.00 60.00
Each line ends with the local moment (μB).
Element x y z (fractional)
I  0.250  0.250  0.250  0.22
I  0.750  0.750  0.750  0.22
Rh  0.000  0.000  0.000  1.19
Au  0.500  0.500  0.500  0.05

***

Stability, highest: (a)

***

(a)
Material: Si2RhAuI
Method: DFT, PBE
State: optimized geometry

## Properties
As for the space group: P1. For the mass density, the calculation gives 7.199 g cm⁻³.

abc: 3.014 4.495 8.805
angles: 82.50 89.96 109.44
Element x y z (fractional)
I  0.085  0.535  0.600
Au  0.199  0.763  0.254
Si  0.296  0.955  0.953
Si  0.488  0.339  0.156
Rh  0.017  0.399  0.931

***

(b)
Material: Si2RhAuI
Method: DFT, PBE
State: optimized geometry

## Properties
As for the space group: Cm. For the mass density, the calculation gives 7.261 g cm⁻³.

abc: 7.773 3.583 7.972
angles: 90.00 95.85 90.00
Element x y z (fractional)
Si  0.083  0.000  0.224
Si  0.083  0.500  0.724
Si  0.864  0.000  0.906
Si  0.864  0.500  0.406
Rh  0.053  0.000  0.520
Rh  0.053  0.500  0.020
Au  0.720  0.000  0.620
Au  0.720  0.500  0.120
I  0.387  0.000  0.434
I  0.387  0.500  0.934

***

Stability, highest: (a)

***

(a)
Material: Si2RhAuI
Method: DFT, PBE
State: optimized geometry

## Properties
As for the space group: Imm2. For the mass density, the calculation gives 6.985 g cm⁻³.

abc: 4.050 3.815 14.860
angles: 90.00 90.00 90.00
Element x y z (fractional)
Si  0.000  0.500  0.888
Si  0.500  0.000  0.388
Si  0.000  0.500  0.403
Si  0.500  0.000  0.903
Rh  0.000  0.000  0.308
Rh  0.500  0.500  0.808
Au  0.000  0.000  0.002
Au  0.500  0.500  0.502
I  0.000  0.500  0.162
I  0.500  0.000  0.662

***

(b)
Material: Si2RhAuI
Method: DFT, PBE
State: optimized geometry

## Properties
As for the space group: P1. For the mass density, the calculation gives 6.965 g cm⁻³.

abc: 3.765 4.378 7.800
angles: 93.95 89.67 116.08
Element x y z (fractional)
Si  0.386  0.066  0.946
Si  0.843  0.991  0.193
Rh  0.695  0.690  0.923
Au  0.542  0.380  0.254
I  0.726  0.757  0.578

***

Stability, highest: (a)

***

(a)
Material: RuAuI3
Method: DFT, PBE
State: optimized geometry

## Properties
As for the space group: Pm-3m. For the mass density, the calculation gives 7.122 g cm⁻³.

abc: 5.409 5.409 5.409
angles: 90.00 90.00 90.00
Each line ends with the local moment (μB).
Element x y z (fractional)
I  0.000  0.500  0.000  0.06
I  0.000  0.000  0.500  0.02
I  0.500  0.000  0.000  0.15
Ru  0.000  0.000  0.000  1.02
Au  0.500  0.500  0.500  -0.04

***

(b)
Material: RuAuI3
Method: DFT, PBE
State: optimized geometry

## Properties
As for the space group: Pm-3m. For the mass density, the calculation gives 6.247 g cm⁻³.

abc: 5.651 5.651 5.651
angles: 90.00 90.00 90.00
Each line ends with the local moment (μB).
Element x y z (fractional)
I  0.000  0.500  0.000  0.04
I  0.000  0.000  0.500  0.02
I  0.500  0.000  0.000  0.03
Ru  0.500  0.500  0.500  2.71
Au  0.000  0.000  0.000  0.01

***

Stability, highest: (a)

***

(a)
Material: RuAu3I
Method: DFT, PBE
State: optimized geometry

## Properties
As for the space group: Pm-3m. For the mass density, the calculation gives 9.587 g cm⁻³.

abc: 5.215 5.215 5.215
angles: 90.00 90.00 90.00
Each line ends with the local moment (μB).
Element x y z (fractional)
I  0.000  0.000  0.000  0.00
Ru  0.500  0.500  0.500  0.12
Au  0.000  0.500  0.000  0.00
Au  0.000  0.000  0.500  -0.01
Au  0.500  0.000  0.000  0.01

***

(b)
Material: RuAu3I
Method: DFT, PBE
State: optimized geometry

## Properties
As for the space group: Pm-3m. For the mass density, the calculation gives 10.225 g cm⁻³.

abc: 5.104 5.104 5.104
angles: 90.00 90.00 90.00
Each line ends with the local moment (μB).
Element x y z (fractional)
I  0.500  0.500  0.500  -0.04
Ru  0.000  0.000  0.000  1.86
Au  0.000  0.500  0.000  0.09
Au  0.000  0.000  0.500  0.25
Au  0.500  0.000  0.000  0.00

***

Stability, highest: (b)

***

(a)
Material: SbRuAuI2
Method: DFT, PBE
State: optimized geometry

## Properties
As for the space group: P4/mmm. For the mass density, the calculation gives 7.822 g cm⁻³.

abc: 5.207 5.275 5.207
angles: 90.00 90.00 90.00
Each line ends with the local moment (μB).
Element x y z (fractional)
I  0.000  0.000  0.500  0.01
I  0.500  0.000  0.000  0.00
Sb  0.500  0.500  0.500  0.17
Au  0.000  0.500  0.000  0.01
Ru  0.000  0.000  0.000  -0.15

***

(b)
Material: SbRuAuI2
Method: DFT, PBE
State: optimized geometry

## Properties
As for the space group: P4/mmm. For the mass density, the calculation gives 6.585 g cm⁻³.

abc: 5.589 5.589 5.438
angles: 90.00 90.00 90.00
Each line ends with the local moment (μB).
Element x y z (fractional)
I  0.000  0.500  0.000  0.06
I  0.500  0.000  0.000  0.06
Sb  0.000  0.000  0.500  0.04
Au  0.000  0.000  0.000  0.00
Ru  0.500  0.500  0.500  2.73

***

Stability, highest: (a)